MgSc2HPd, relaxed, DFT GGA-PBE; SG = P4/mmm (123); V = 16.0 Å³ per atom; energy above the most stable polymorph in this dataset = 0 meV per atom; density of states at the Fermi level = 3.03 states/eV per cell
1.0
4.4398 0.0000 0.0000
0.0000 4.4398 0.0000
0.0000 0.0000 4.0553
Mg Sc H Pd
1 2 1 1
direct
0.0000 0.0000 0.0000
0.0000 0.5000 0.5000
0.5000 0.0000 0.5000
0.0000 0.0000 0.5000
0.5000 0.5000 0.0000

=====

Lu2ZnPb, relaxed, DFT GGA-PBE; SG = R-3m (166); V = 25.9 Å³ per atom; energy of formation = -0.869 eV/f.u.; density of states at the Fermi level = 10.98 states/eV per cell
1.0
3.6093 0.0000 0.0000
-1.8046 3.1257 0.0000
0.0000 0.0000 27.5537
Lu Zn Pb
6 3 3
direct
0.0000 0.0000 0.2411
0.0000 0.0000 0.7589
0.3333 0.6667 0.4256
0.3333 0.6667 0.9077
0.6667 0.3333 0.0923
0.6667 0.3333 0.5744
0.0000 0.0000 0.5000
0.3333 0.6667 0.1667
0.6667 0.3333 0.8333
0.0000 0.0000 0.0000
0.3333 0.6667 0.6667
0.6667 0.3333 0.3333

=====

ZrNbW, relaxed, DFT GGA-PBE; SG = Imma (74); V = 19.5 Å³ per atom; energy of formation = -0.146 eV/f.u.; energy above the most stable polymorph in this dataset = 0 meV per atom; density of states at the Fermi level = 15.44 states/eV per cell
1.0
5.4231 0.0000 0.0000
0.0000 5.5556 0.0000
0.0000 0.0000 7.7600
Zr Nb W
4 4 4
direct
0.0000 0.2500 0.1235
0.0000 0.7500 0.8765
0.5000 0.2500 0.3765
0.5000 0.7500 0.6235
0.0000 0.0000 0.5000
0.0000 0.5000 0.5000
0.5000 0.0000 0.0000
0.5000 0.5000 0.0000
0.2500 0.2500 0.7500
0.2500 0.7500 0.2500
0.7500 0.2500 0.7500
0.7500 0.7500 0.2500

=====

RbVSb2, relaxed, DFT GGA-PBE; SG = R-3m (166); V = 29.8 Å³ per atom; energy above the most stable polymorph in this dataset = 203 meV per atom; energy relative to the elements, uncorrected = 0.13 eV per atom; density of states at the Fermi level = 6.80 states/eV per cell
1.0
3.5820 0.0000 0.0000
-1.7910 3.1021 0.0000
0.0000 0.0000 32.1935
Rb V Sb
3 3 6
direct
0.0000 0.0000 0.0000
0.3333 0.6667 0.6667
0.6667 0.3333 0.3333
0.0000 0.0000 0.5000
0.3333 0.6667 0.1667
0.6667 0.3333 0.8333
0.0000 0.0000 0.1101
0.0000 0.0000 0.8899
0.3333 0.6667 0.5566
0.3333 0.6667 0.7767
0.6667 0.3333 0.2233
0.6667 0.3333 0.4434

=====

KZnNi2, relaxed, DFT GGA-PBE; SG = Fm-3m (225); V = 16.7 Å³ per atom; energy of formation = 3.058 eV/f.u.; energy above the most stable polymorph in this dataset = 457 meV per atom; density of states at the Fermi level = 8.58 states/eV per cell
1.0
6.4392 0.0000 0.0000
0.0000 6.4392 0.0000
0.0000 0.0000 6.4392
K Zn Ni
4 4 8
direct
0.0000 0.0000 0.0000
0.0000 0.5000 0.5000
0.5000 0.0000 0.5000
0.5000 0.5000 0.0000
0.0000 0.0000 0.5000
0.0000 0.5000 0.0000
0.5000 0.0000 0.0000
0.5000 0.5000 0.5000
0.2500 0.2500 0.2500
0.2500 0.2500 0.7500
0.2500 0.7500 0.2500
0.2500 0.7500 0.7500
0.7500 0.2500 0.2500
0.7500 0.2500 0.7500
0.7500 0.7500 0.2500
0.7500 0.7500 0.7500

=====

La2PI3, relaxed, DFT GGA-PBE; SG = C2/m (12); V = 40.2 Å³ per atom; energy relative to the elements, uncorrected = -1.50 eV per atom
1.0
9.2613 -2.3541 0.0000
9.2613 2.3541 0.0000
-6.1782 0.0000 11.0613
La P I
4 2 6
direct
0.0946 0.0946 0.4488
0.3592 0.3592 0.1989
0.6408 0.6408 0.8011
0.9054 0.9054 0.5512
0.0788 0.0788 0.6590
0.9212 0.9212 0.3410
0.1580 0.1580 0.0095
0.2702 0.2702 0.3834
0.4485 0.4485 0.7564
0.5515 0.5515 0.2436
0.7298 0.7298 0.6166
0.8420 0.8420 0.9905

=====

We obtain raw total energy values of -4.984 -3.723 -10.572 -4.451 -2.719 -4.823 eV per atom for the records listed above, in that order.